1.
DFT (PBE-GGA) results for crystalline TaTe2Br at its relaxed geometry.

a b c (Å): 6.6668 5.3292 3.5994
angles (deg): 78.99 76.43 123.11
Atoms (fractional coordinates):
Te 0.0000 0.0000 0.0000
Te 0.5000 0.0000 0.5000
Br 0.0000 0.5000 0.5000
Ta 0.5000 0.5000 0.0000

Properties
Space group: C2/m (12)
Polymorph energy (0 for the lowest one) (meV/atom): 924.3
Raw formation energy (eV per formula unit): 2.2


2.
DFT (PBE-GGA) results for crystalline Ta2TeBr at its relaxed geometry.

a b c (Å): 3.1531 3.1531 10.1317
angles (deg): 90.00 90.00 108.80
Atoms (fractional coordinates):
Te 0.0000 0.0000 0.4400
Br 0.5000 0.5000 0.8172
Ta 0.0000 0.0000 0.0190
Ta 0.5000 0.5000 0.2237

Properties
Space group: Cmm2 (35)
Polymorph energy (0 for the lowest one) (meV/atom): 266.4
Raw formation energy (eV per formula unit): 0.1


3.
DFT (PBE-GGA) results for crystalline Ta2TeBr at its relaxed geometry.

a b c (Å): 3.5560 3.5679 7.1863
angles (deg): 90.06 90.00 90.00
Atoms (fractional coordinates):
Te 0.5000 0.2500 0.2500
Br 0.5000 0.7500 0.7500
Ta 0.0000 0.7496 0.0642
Ta 0.0000 0.7504 0.4358

Properties
Space group: P2/m (10)
Polymorph energy (0 for the lowest one) (meV/atom): 674.7
Raw formation energy (eV per formula unit): 1.7


4.
DFT (PBE-GGA) results for crystalline Ta2TeBr at its relaxed geometry.

a b c (Å): 3.2763 3.2763 9.2778
angles (deg): 90.00 90.00 122.12
Atoms (fractional coordinates):
Te 0.5000 0.5000 0.2500
Br 0.5000 0.5000 0.7500
Ta 0.0000 0.0000 0.0017
Ta 0.0000 0.0000 0.4983

Properties
Space group: Cmmm (65)
Polymorph energy (0 for the lowest one) (meV/atom): 909.7
Raw formation energy (eV per formula unit): 2.6


5.
DFT (PBE-GGA) results for crystalline Ta2TeBr at its relaxed geometry.

a b c (Å): 5.8615 3.3618 20.5929
angles (deg): 90.00 98.54 90.00
Atoms (fractional coordinates):
Te 0.2044 0.0000 0.0807
Te 0.2044 0.5000 0.5807
Te 0.7147 0.0000 0.6121
Te 0.7147 0.5000 0.1121
Br 0.5868 0.0000 0.9085
Br 0.5868 0.5000 0.4085
Br 0.0739 0.0000 0.3801
Br 0.0739 0.5000 0.8801
Ta 0.5187 0.0000 0.2034
Ta 0.5187 0.5000 0.7034
Ta 0.7689 0.0000 0.7993
Ta 0.7689 0.5000 0.2993
Ta 0.2765 0.0000 0.7969
Ta 0.2765 0.5000 0.2969
Ta 0.0191 0.0000 0.1993
Ta 0.0191 0.5000 0.6993

Properties
Space group: Cm (8)
Polymorph energy (0 for the lowest one) (meV/atom): 48.2
Raw formation energy (eV per formula unit): -0.8


6.
DFT (PBE-GGA) results for crystalline Ta2TeBr at its relaxed geometry.

a b c (Å): 3.3117 3.3119 10.0746
angles (deg): 84.92 85.22 61.20
Atoms (fractional coordinates):
Te 0.5203 0.4713 0.0534
Br 0.2705 0.2027 0.6649
Ta 0.1510 0.0957 0.2582
Ta 0.6296 0.5675 0.4776

Properties
Space group: P1 (1)
Polymorph energy (0 for the lowest one) (meV/atom): 44.9
Raw formation energy (eV per formula unit): -0.8


7.
DFT (PBE-GGA) results for crystalline TaTe2Br at its relaxed geometry.

a b c (Å): 7.7132 7.7132 7.7132
angles (deg): 155.25 138.89 48.58
Atoms (fractional coordinates):
Te 0.0926 0.0926 0.0000
Te 0.4074 0.4074 0.0000
Br 0.7500 0.2500 0.5000
Ta 0.2500 0.7500 0.5000

Properties
Space group: Immm (71)
Polymorph energy (0 for the lowest one) (meV/atom): 418.3
Raw formation energy (eV per formula unit): 0.2


8.
DFT (PBE-GGA) results for crystalline TaTe2Br at its relaxed geometry.

a b c (Å): 5.3109 4.3343 4.3343
angles (deg): 90.00 90.00 90.00
Atoms (fractional coordinates):
Te 0.0000 0.0000 0.0000
Te 0.0000 0.5000 0.5000
Br 0.5000 0.5000 0.0000
Ta 0.5000 0.0000 0.5000

Properties
Space group: P4/mmm (123)
Polymorph energy (0 for the lowest one) (meV/atom): 1114.0
Raw formation energy (eV per formula unit): 3.0


9.
DFT (PBE-GGA) results for crystalline Ta2TeBr at its relaxed geometry.

a b c (Å): 4.7748 4.7748 5.6038
angles (deg): 78.34 78.34 39.61
Atoms (fractional coordinates):
Te 0.2500 0.2500 0.2500
Br 0.7500 0.7500 0.7500
Ta 0.0001 0.0001 0.0020
Ta 0.4999 0.4999 0.4980

Properties
Space group: C2/m (12)
Polymorph energy (0 for the lowest one) (meV/atom): 670.6
Raw formation energy (eV per formula unit): 1.7


10.
DFT (PBE-GGA) results for crystalline Ta2TeBr at its relaxed geometry.

a b c (Å): 9.0093 9.0093 9.0093
angles (deg): 20.66 20.66 20.66
Atoms (fractional coordinates):
Te 0.2500 0.2500 0.2500
Br 0.7500 0.7500 0.7500
Ta 0.9989 0.9989 0.9989
Ta 0.5011 0.5011 0.5011

Properties
Space group: R-3m (166)
Polymorph energy (0 for the lowest one) (meV/atom): 665.4
Raw formation energy (eV per formula unit): 1.7


11.
DFT (PBE-GGA) results for crystalline Ta2TeBr at its relaxed geometry.

a b c (Å): 4.6052 4.6052 9.2850
angles (deg): 75.64 75.64 90.00
Atoms (fractional coordinates):
Te 0.0000 0.0000 0.0000
Te 0.7500 0.2500 0.5000
Br 0.5000 0.5000 0.0000
Br 0.2500 0.7500 0.5000
Ta 0.5833 0.1250 0.2500
Ta 0.1667 0.6250 0.2500
Ta 0.3750 0.4167 0.7500
Ta 0.8750 0.8333 0.7500

Properties
Space group: I-42d (122)
Polymorph energy (0 for the lowest one) (meV/atom): 864.0
Raw formation energy (eV per formula unit): 2.5


12.
DFT (PBE-GGA) results for crystalline TaTe2Br at its relaxed geometry.

a b c (Å): 5.3584 5.3584 3.2762
angles (deg): 90.00 90.00 90.00
Atoms (fractional coordinates):
Te 0.0000 0.0000 0.0000
Te 0.5000 0.5000 0.0000
Br 0.5000 0.0000 0.5000
Ta 0.0000 0.5000 0.5000

Properties
Space group: P4/mmm (123)
Polymorph energy (0 for the lowest one) (meV/atom): 1020.1
Raw formation energy (eV per formula unit): 2.6